No. 1
# PBE HfTlFe2, optimized geometry
# DOS(E_F) (states/eV/f.u.): 3.7
# Energy relative to the lowest polymorph listed for this composition (kJ/mol of formula units): 181
# Symmetry: I-42d (122)
data_HfTlFe2
_chemical_formula_sum 'Hf2 Tl2 Fe4'
_cell_length_a 5.8404
_cell_length_b 5.8404
_cell_length_c 5.8404
_cell_angle_alpha 103.65
_cell_angle_beta 103.65
_cell_angle_gamma 121.87
_space_group_name_H-M_alt 'P 1'
_space_group_IT_number 1
_space_group_name_Hall 'P 1'
loop_
_atom_site_label
_atom_site_fract_x
_atom_site_fract_y
_atom_site_fract_z
Hf1 0.0000 0.0000 0.0000
Hf2 0.7500 0.2500 0.5000
Tl1 0.2500 0.7500 0.5000
Tl2 0.5000 0.5000 0.0000
Fe1 0.1159 0.1250 0.4909
Fe2 0.3750 0.8841 0.0091
Fe3 0.6341 0.6250 0.5091
Fe4 0.8750 0.3659 0.9909

No. 2
# PBE Hf6TlFe, optimized geometry
# DOS(E_F) (states/eV/f.u.): 8.5
# Symmetry: C2/m (12)
# Energy (eV per atom): -8.423
data_Hf6TlFe
_chemical_formula_sum 'Hf6 Tl1 Fe1'
_cell_length_a 6.0886
_cell_length_b 6.0886
_cell_length_c 6.0391
_cell_angle_alpha 102.62
_cell_angle_beta 102.62
_cell_angle_gamma 116.95
_space_group_name_H-M_alt 'P 1'
_space_group_IT_number 1
_space_group_name_Hall 'P 1'
loop_
_atom_site_label
_atom_site_fract_x
_atom_site_fract_y
_atom_site_fract_z
Hf1 0.0008 0.5870 0.7710
Hf2 0.2314 0.2314 0.7891
Hf3 0.4130 0.9992 0.2290
Hf4 0.5870 0.0008 0.7710
Hf5 0.7686 0.7686 0.2109
Hf6 0.9992 0.4130 0.2290
Tl1 0.5000 0.5000 0.5000
Fe1 0.0000 0.0000 0.0000

No. 3
# PBE Hf2TlFe2, optimized geometry
# DOS(E_F) (states/eV/f.u.): 5.2
# Symmetry: P4/mbm (127)
# Energy (eV per atom): -7.887
data_Hf2TlFe2
_chemical_formula_sum 'Hf4 Tl2 Fe4'
_cell_length_a 7.2402
_cell_length_b 7.2402
_cell_length_c 3.3622
_cell_angle_alpha 90.00
_cell_angle_beta 90.00
_cell_angle_gamma 90.00
_space_group_name_H-M_alt 'P 1'
_space_group_IT_number 1
_space_group_name_Hall 'P 1'
loop_
_atom_site_label
_atom_site_fract_x
_atom_site_fract_y
_atom_site_fract_z
Hf1 0.1757 0.3243 0.0000
Hf2 0.3243 0.8243 0.0000
Hf3 0.6757 0.1757 0.0000
Hf4 0.8243 0.6757 0.0000
Tl1 0.0000 0.0000 0.5000
Tl2 0.5000 0.5000 0.5000
Fe1 0.1109 0.6109 0.5000
Fe2 0.3891 0.1109 0.5000
Fe3 0.6109 0.8891 0.5000
Fe4 0.8891 0.3891 0.5000

No. 4
# PBE Hf6Tl2Fe, optimized geometry
# DOS(E_F) (states/eV/f.u.): 9.0
# Symmetry: P2_1/c (14)
# Energy (eV per atom): -7.957
data_Hf6Tl2Fe
_chemical_formula_sum 'Hf12 Tl4 Fe2'
_cell_length_a 5.7490
_cell_length_b 7.1823
_cell_length_c 10.9979
_cell_angle_alpha 90.00
_cell_angle_beta 120.39
_cell_angle_gamma 90.00
_space_group_name_H-M_alt 'P 1'
_space_group_IT_number 1
_space_group_name_Hall 'P 1'
loop_
_atom_site_label
_atom_site_fract_x
_atom_site_fract_y
_atom_site_fract_z
Hf1 0.1155 0.1642 0.4747
Hf2 0.1155 0.3358 0.9747
Hf3 0.3457 0.7165 0.4729
Hf4 0.3457 0.7835 0.9729
Hf5 0.3834 0.0317 0.2442
Hf6 0.3834 0.4683 0.7442
Hf7 0.6166 0.5317 0.2558
Hf8 0.6166 0.9683 0.7558
Hf9 0.6543 0.2165 0.0271
Hf10 0.6543 0.2835 0.5271
Hf11 0.8845 0.6642 0.0253
Hf12 0.8845 0.8358 0.5253
Tl1 0.1373 0.0977 0.7640
Tl2 0.1373 0.4023 0.2640
Tl3 0.8627 0.5977 0.7360
Tl4 0.8627 0.9023 0.2360
Fe1 0.0000 0.0000 0.0000
Fe2 0.0000 0.5000 0.5000

No. 5
# PBE Hf5Tl2Fe2, optimized geometry
# DOS(E_F) (states/eV/f.u.): 7.5
# Symmetry: Cmce (64)
# Energy (eV per atom): -8.025
data_Hf5Tl2Fe2
_chemical_formula_sum 'Hf10 Tl4 Fe4'
_cell_length_a 8.4276
_cell_length_b 8.4276
_cell_length_c 6.7375
_cell_angle_alpha 90.00
_cell_angle_beta 90.00
_cell_angle_gamma 51.76
_space_group_name_H-M_alt 'P 1'
_space_group_IT_number 1
_space_group_name_Hall 'P 1'
loop_
_atom_site_label
_atom_site_fract_x
_atom_site_fract_y
_atom_site_fract_z
Hf1 0.0000 0.0000 0.0000
Hf2 0.0635 0.7238 0.6571
Hf3 0.2238 0.5635 0.1571
Hf4 0.2762 0.9365 0.6571
Hf5 0.4365 0.7762 0.1571
Hf6 0.5000 0.5000 0.5000
Hf7 0.5635 0.2238 0.8429
Hf8 0.7238 0.0635 0.3429
Hf9 0.7762 0.4365 0.8429
Hf10 0.9365 0.2762 0.3429
Tl1 0.2222 0.2222 0.0000
Tl2 0.2778 0.2778 0.5000
Tl3 0.7222 0.7222 0.5000
Tl4 0.7778 0.7778 0.0000
Fe1 0.1337 0.8663 0.3647
Fe2 0.3663 0.6337 0.8647
Fe3 0.6337 0.3663 0.1353
Fe4 0.8663 0.1337 0.6353

No. 6
# PBE Hf2TlFe2, optimized geometry
# DOS(E_F) (states/eV/f.u.): 5.8
# Symmetry: P4/mbm (127)
# Energy (eV per atom): -7.552
data_Hf2TlFe2
_chemical_formula_sum 'Hf4 Tl2 Fe4'
_cell_length_a 7.6826
_cell_length_b 7.6826
_cell_length_c 3.0689
_cell_angle_alpha 90.00
_cell_angle_beta 90.00
_cell_angle_gamma 90.00
_space_group_name_H-M_alt 'P 1'
_space_group_IT_number 1
_space_group_name_Hall 'P 1'
loop_
_atom_site_label
_atom_site_fract_x
_atom_site_fract_y
_atom_site_fract_z
Hf1 0.1414 0.3586 0.0000
Hf2 0.3586 0.8586 0.0000
Hf3 0.6414 0.1414 0.0000
Hf4 0.8586 0.6414 0.0000
Tl1 0.0000 0.0000 0.0000
Tl2 0.5000 0.5000 0.0000
Fe1 0.1406 0.6406 0.5000
Fe2 0.3594 0.1406 0.5000
Fe3 0.6406 0.8594 0.5000
Fe4 0.8594 0.3594 0.5000

| no. | total magnetic moment (μB per atom) |
| --- | --- |
| 1 | 0.947 |
| 2 | 0.129 |
| 3 | 0.582 |
| 4 | 0.000 |
| 5 | 0.000 |
| 6 | 0.000 |